Be4CoAg: relaxed, PBE-GGA.

```
Be4CoAg
1.0
-4.203 0.961 0.487
-2.291 1.486 -3.372
-3.026 -2.506 -1.841
Be Co Ag
4 1 1
Cartesian
-5.663 0.454 -1.536
-5.080 -1.264 -2.690
-4.716 0.714 -3.448
-3.581 -0.022 -1.777
-7.140 -0.044 -3.544
0.000 0.000 0.000
```

The formation enthalpy at 0 K is -0.0326 eV/atom. The total magnetic moment is 0.19 μB/f.u. For the total energy, the calculation gives -4.176 eV per atom. The density is 5831 kg/m³.